# 1
Here is an optimized crystal structure of La6CePm2Tm from the Alexandria database. Energies are from PBE-GGA.

The structure in CIF format:
```
data_La6CePm2Tm
_cell_length_a 11.7730
_cell_length_b 7.0643
_cell_length_c 10.0068
_cell_angle_alpha 90.00
_cell_angle_beta 121.26
_cell_angle_gamma 90.00
_symmetry_space_group_name_H-M 'C 1 2/m 1'
_symmetry_Int_Tables_number 12
_symmetry_space_group_name_Hall '-C 2y'
loop_
_atom_site_label
_atom_site_type_symbol
_atom_site_fract_x
_atom_site_fract_y
_atom_site_fract_z
_atom_site_occupancy
La1 La 0.1575 0.0000 0.4296 1
La2 La 0.1813 0.2209 0.8125 1
Ce1 Ce 0.0000 0.0000 0.0000 1
Pm1 Pm 0.0552 0.5000 0.1917 1
Tm1 Tm 0.0000 0.5000 0.5000 1
```

The calculation puts the total DFT energy (no corrections) at -4.74 eV per atom.

=====

# 2
Here is an optimized crystal structure of LaCePm6Tm2 from the Alexandria database. Energies are from PBE-GGA.

The structure in CIF format:
```
data_LaCePm6Tm2
_cell_length_a 11.3680
_cell_length_b 6.8706
_cell_length_c 8.9906
_cell_angle_alpha 90.00
_cell_angle_beta 103.36
_cell_angle_gamma 90.00
_symmetry_space_group_name_H-M 'C 1 2/m 1'
_symmetry_Int_Tables_number 12
_symmetry_space_group_name_Hall '-C 2y'
loop_
_atom_site_label
_atom_site_type_symbol
_atom_site_fract_x
_atom_site_fract_y
_atom_site_fract_z
_atom_site_occupancy
La1 La 0.0000 0.0000 0.0000 1
Ce1 Ce 0.0000 0.5000 0.5000 1
Pm1 Pm 0.1342 0.5000 0.9189 1
Pm2 Pm 0.1678 0.2368 0.3041 1
Tm1 Tm 0.0924 0.0000 0.6588 1
```

The calculation puts the total DFT energy (no corrections) at -4.60 eV per atom.

=====

# 3
Here is an optimized crystal structure of LaCePm6Y2 from the Alexandria database. Energies are from PBE-GGA.

The structure in CIF format:
```
data_LaCePm6Y2
_cell_length_a 11.4567
_cell_length_b 6.8909
_cell_length_c 9.0456
_cell_angle_alpha 90.00
_cell_angle_beta 104.10
_cell_angle_gamma 90.00
_symmetry_space_group_name_H-M 'C 1 2/m 1'
_symmetry_Int_Tables_number 12
_symmetry_space_group_name_Hall '-C 2y'
loop_
_atom_site_label
_atom_site_type_symbol
_atom_site_fract_x
_atom_site_fract_y
_atom_site_fract_z
_atom_site_occupancy
La1 La 0.0000 0.0000 0.0000 1
Ce1 Ce 0.0000 0.5000 0.5000 1
Pm1 Pm 0.1328 0.5000 0.9170 1
Pm2 Pm 0.1669 0.2376 0.3036 1
Y1 Y 0.0943 0.0000 0.6615 1
```

The calculation puts the total DFT energy (no corrections) at -5.00 eV per atom.

=====

# 4
Here is an optimized crystal structure of La3Ce2PmY6 from the Alexandria database. Energies are from PBE-GGA.

The structure in CIF format:
```
data_La3Ce2PmY6
_cell_length_a 6.2751
_cell_length_b 10.8702
_cell_length_c 11.8811
_cell_angle_alpha 90.00
_cell_angle_beta 100.15
_cell_angle_gamma 90.00
_symmetry_space_group_name_H-M 'C 1 2/m 1'
_symmetry_Int_Tables_number 12
_symmetry_space_group_name_Hall '-C 2y'
loop_
_atom_site_label
_atom_site_type_symbol
_atom_site_fract_x
_atom_site_fract_y
_atom_site_fract_z
_atom_site_occupancy
La1 La 0.0000 0.0000 0.0000 1
La2 La 0.0000 0.3342 0.0000 1
Ce1 Ce 0.0000 0.1665 0.5000 1
Pm1 Pm 0.0000 0.5000 0.5000 1
Y1 Y 0.2462 0.0000 0.7447 1
Y2 Y 0.2492 0.3323 0.7447 1
```

The calculation puts the total DFT energy (no corrections) at -5.80 eV per atom.

=====

# 5
Here is an optimized crystal structure of LaCePm2Y5 from the Alexandria database. Energies are from PBE-GGA.

The structure in CIF format:
```
data_LaCePm2Y5
_cell_length_a 8.7450
_cell_length_b 8.7450
_cell_length_c 8.0195
_cell_angle_alpha 90.00
_cell_angle_beta 90.00
_cell_angle_gamma 90.00
_symmetry_space_group_name_H-M 'P 4/m b m'
_symmetry_Int_Tables_number 127
_symmetry_space_group_name_Hall '-P 4 2ab'
loop_
_atom_site_label
_atom_site_type_symbol
_atom_site_fract_x
_atom_site_fract_y
_atom_site_fract_z
_atom_site_occupancy
La1 La 0.0000 0.0000 0.0000 1
Ce1 Ce 0.0000 0.5000 0.0000 1
Pm1 Pm 0.1185 0.3815 0.5000 1
Y1 Y 0.0000 0.0000 0.5000 1
Y2 Y 0.2054 0.7054 0.2301 1
```

The calculation puts the total DFT energy (no corrections) at -5.59 eV per atom.

=====

# 6
Here is an optimized crystal structure of LaCePmY2 from the Alexandria database. Energies are from PBE-GGA.

The structure in CIF format:
```
data_LaCePmY2
_cell_length_a 8.6509
_cell_length_b 6.4189
_cell_length_c 6.1679
_cell_angle_alpha 90.00
_cell_angle_beta 96.81
_cell_angle_gamma 90.00
_symmetry_space_group_name_H-M 'P 1 2/c 1'
_symmetry_Int_Tables_number 13
_symmetry_space_group_name_Hall '-P 2yc'
loop_
_atom_site_label
_atom_site_type_symbol
_atom_site_fract_x
_atom_site_fract_y
_atom_site_fract_z
_atom_site_occupancy
La1 La 0.0000 0.0000 0.0000 1
Ce1 Ce 0.0000 0.4548 0.2500 1
Pm1 Pm 0.5000 0.1679 0.2500 1
Y1 Y 0.3102 0.3224 0.7150 1
```

The calculation puts the total DFT energy (no corrections) at -5.42 eV per atom.

=====

# 7
Here is an optimized crystal structure of LaCePmZn from the Alexandria database. Energies are from PBE-GGA.

The structure in CIF format:
```
data_LaCePmZn
_cell_length_a 7.7238
_cell_length_b 7.7238
_cell_length_c 7.7238
_cell_angle_alpha 90.00
_cell_angle_beta 90.00
_cell_angle_gamma 90.00
_symmetry_space_group_name_H-M 'F -4 3 m'
_symmetry_Int_Tables_number 216
_symmetry_space_group_name_Hall 'F -4 2 3'
loop_
_atom_site_label
_atom_site_type_symbol
_atom_site_fract_x
_atom_site_fract_y
_atom_site_fract_z
_atom_site_occupancy
La1 La 0.0000 0.0000 0.0000 1
Ce1 Ce 0.0000 0.0000 0.5000 1
Pm1 Pm 0.2500 0.2500 0.2500 1
Zn1 Zn 0.2500 0.2500 0.7500 1
```

The calculation puts the total DFT energy (no corrections) at -4.13 eV per atom.

=====

# 8
Here is an optimized crystal structure of LaCePmZr from the Alexandria database. Energies are from PBE-GGA.

The structure in CIF format:
```
data_LaCePmZr
_cell_length_a 7.8280
_cell_length_b 7.8280
_cell_length_c 7.8280
_cell_angle_alpha 90.00
_cell_angle_beta 90.00
_cell_angle_gamma 90.00
_symmetry_space_group_name_H-M 'F -4 3 m'
_symmetry_Int_Tables_number 216
_symmetry_space_group_name_Hall 'F -4 2 3'
loop_
_atom_site_label
_atom_site_type_symbol
_atom_site_fract_x
_atom_site_fract_y
_atom_site_fract_z
_atom_site_occupancy
La1 La 0.0000 0.0000 0.0000 1
Ce1 Ce 0.2500 0.2500 0.7500 1
Pm1 Pm 0.2500 0.2500 0.2500 1
Zr1 Zr 0.0000 0.0000 0.5000 1
```

The calculation puts the total DFT energy (no corrections) at -5.75 eV per atom.

=====

- Which of these has the highest total DFT energy (no corrections)?
  LaCePmZn